<w>
First-principles (PBE) data for LaTmZr after structural relaxation, as listed in Alexandria.

abc: 3.7949 3.7949 12.6539
angles: 90.00 90.00 90.00
Last column: nearest neighbours and their distance in Å.
Space group P4/nmm (No. 129, origin choice 2)
Unique sites:
La 0.2500 0.2500 0.0995  8 La 3.68-3.79, 4 Tm 3.68
Tm 0.2500 0.2500 0.7011  5 Zr 3.20-3.28
Zr 0.2500 0.2500 0.4479  4 Zr 2.99, 5 Tm 3.20-3.28


<x>
First-principles (PBE) data for LaTmZr after structural relaxation, as listed in Alexandria.

abc: 5.4126 5.4126 6.7701
angles: 90.00 90.00 120.00
Last column: nearest neighbours and their distance in Å.
Space group P6/mmm (No. 191)
Unique sites:
La 0.3333 0.6667 0.0000  3 La 3.12, 2 Zr 3.39
Tm 0.0000 0.0000 0.2678  1 Tm 3.14, 6 Zr 3.50
Zr 0.3333 0.6667 0.5000  3 Zr 3.12, 2 La 3.39, 6 Tm 3.50


Q: Which of them is the least stable? A: <x>.


<w>
First-principles (PBE) data for LaV after structural relaxation, as listed in Alexandria.

abc: 8.4883 8.4883 8.4883
angles: 90.00 90.00 90.00
Last column: nearest neighbours and their distance in Å.
Space group I-43m (No. 217)
Unique sites:
La 0.2201 0.2201 0.7799  1 V 2.66
V 0.0987 0.0987 0.0987  3 V 2.37


<x>
First-principles (PBE) data for LaV after structural relaxation, as listed in Alexandria.

abc: 6.1116 6.1116 6.1840
angles: 90.00 90.00 90.00
Last column: nearest neighbours and their distance in Å.
Space group P4_2/mnm (No. 136)
Unique sites:
La 0.1759 0.1759 0.0000  4 V 2.96-3.14, 1 La 3.04
V 0.1109 0.1109 0.5000  1 V 1.92


<y>
First-principles (PBE) data for LaV after structural relaxation, as listed in Alexandria.

abc: 6.4844 6.4844 6.4844
angles: 90.00 90.00 90.00
Last column: nearest neighbours and their distance in Å.
Space group F-43m (No. 216)
Unique sites:
La 0.0000 0.0000 0.0000  4 V 2.81
V 0.2500 0.2500 0.2500  4 La 2.81


<z>
First-principles (PBE) data for LaV after structural relaxation, as listed in Alexandria.

abc: 11.1634 11.1634 3.7867
angles: 90.00 90.00 90.00
Last column: nearest neighbours and their distance in Å.
Space group I4/mmm (No. 139)
Unique sites:
La 0.0000 0.2769 0.0000  6 V 3.10-3.26
V 0.2085 0.2085 0.5000  2 V 2.30


Q: Which of them is the least stable? A: <y>.